A plane-wave DFT calculation with PBE was carried out for a geometry-optimized BaAgPdPb2 structure.

E	-3.659	eV/atom
E_form	-0.182	eV per atom

a b c (Å): 5.3658 5.3658 5.3644
angles (deg): 90.00 90.00 90.00
Last column: nearest neighbours and their distance in Å.
Space group P4/mmm (No. 123)
Inequivalent atoms, fractional coordinates:
Ba  0.0000  0.0000  0.0000  8 Pb 3.79, 4 Ag 3.79
Ag  0.5000  0.5000  0.0000  2 Pd 2.68
Pd  0.5000  0.5000  0.5000  2 Ag 2.68, 4 Pb 2.68
Pb  0.0000  0.5000  0.5000  2 Pd 2.68